# 1
Density functional theory data (PBE-GGA) for a geometry-optimized CrIn2Te structure.

Unit cell a=4.223 b=4.223 c=5.784 alpha=90.00 beta=90.00 gamma=90.00
Element x y z (fractional)
Cr 0.000 0.000 0.000
In 0.000 0.500 0.500
In 0.500 0.000 0.500
Te 0.500 0.500 0.000

Calculated values
The value obtained for the total magnetization is 1.13 μB per atom. The calculation puts the formation energy (no corrections) at 0.23 eV per atom. The volume is 103 Å³/cell.

---

# 2
Density functional theory data (PBE-GGA) for a geometry-optimized LiTa2Ru structure.

Unit cell a=3.118 b=4.482 c=9.158 alpha=90.00 beta=90.00 gamma=90.00
Element x y z (fractional)
Li 0.000 0.000 0.000
Li 0.500 0.500 0.500
Ta 0.000 0.000 0.466
Ta 0.000 0.500 0.228
Ta 0.500 0.000 0.728
Ta 0.500 0.500 0.966
Ru 0.000 0.500 0.736
Ru 0.500 0.000 0.236

Calculated values
The value obtained for the total magnetization is 0.00 μB per atom. The volume is 128 Å³/cell. The calculation puts the formation energy at 64 meV per atom.